DFT (GGA+U) results for crystalline Ba2InCoO5 at its relaxed geometry.

Cell lengths 3.521, 7.883, 10.963 Å; angles 90.00, 90.00, 102.91 degrees
Last column: magnetic moment on the atom in μB.
Sites, in units of the cell vectors:
In1 0.207 0.414 0.023  0.00
O1 0.345 0.690 0.003  0.01
O2 0.707 0.414 0.152  -0.01
Ba1 0.117 0.235 0.680  0.00
Ba2 0.866 0.731 0.817  0.01
O3 0.944 0.888 0.521  0.21
O4 0.293 0.586 0.652  -0.01
O5 0.678 0.355 0.889  0.17
In2 0.793 0.586 0.523  0.00
Ba3 0.134 0.269 0.317  0.01
Ba4 0.883 0.765 0.180  0.00
O6 0.655 0.310 0.503  0.01
O7 0.498 0.996 0.299  0.35
O8 0.322 0.645 0.389  0.17
O9 0.502 0.004 0.799  0.35
O10 0.056 0.112 0.021  0.21
Co1 0.554 0.109 0.942  2.94
Co2 0.446 0.891 0.442  2.94

Output
The calculation puts the magnetization at 7.807 μB/cell. The total energy is -106.4 eV per cell. Its calculated volume is 16.479 Å³/atom.